Below is crystalline TbCe2Er at its relaxed geometry, with properties calculated at the PBE level.

The formation energy is 0.1716 eV per atom. The total energy comes out at -5.094 eV/atom. The calculation puts the excess energy over the best structure of this formula in the dataset at 84 meV/atom. The crystal system is monoclinic.

It has space group C2/c (No. 15), with a = 6.4757 Å, b = 11.4035 Å, c = 6.3718 Å, α = 90.00°, β = 92.31° and γ = 90.00°. The asymmetric unit holds Tb at (0.0000, 0.0000, 0.0000), Ce at (0.2177, 0.2670, 0.2862) and Er at (0.0000, 0.4623, 0.7500).